Material: BaTl2Sn2
Method: DFT, PBEsol
State: optimized geometry

The calculation puts the density of states at the Fermi level at 5.19 states/eV per cell. As for the symmetry: I4/mmm, No. 139. As for the spin magnetization: 0.0 μB/cell. Its total energy is -0.1279 hartree per atom. As for the energy relative to the elements: -28.4 kJ per mole of atoms.

Lattice parameters (Å, degrees): 5.0028 5.0028 12.8722 90.00 90.00 90.00
Last column: nearest neighbours and their distance in Å.
Positions (direct):
Ba: 0.0000 0.0000 0.0000  8 Sn 3.82, 8 Tl 4.08
Ba: 0.5000 0.5000 0.5000  8 Sn 3.82, 8 Tl 4.08
Tl: 0.0000 0.5000 0.2500  4 Sn 3.07
Tl: 0.0000 0.5000 0.7500  4 Sn 3.07
Tl: 0.5000 0.0000 0.2500  4 Sn 3.07
Tl: 0.5000 0.0000 0.7500  4 Sn 3.07
Sn: 0.0000 0.0000 0.3877  1 Sn 2.89, 4 Tl 3.07
Sn: 0.0000 0.0000 0.6123  1 Sn 2.89, 4 Tl 3.07
Sn: 0.5000 0.5000 0.1123  1 Sn 2.89, 4 Tl 3.07
Sn: 0.5000 0.5000 0.8877  1 Sn 2.89, 4 Tl 3.07

=====

Material: BaTl2Sn
Method: DFT, PBEsol
State: optimized geometry

The calculation puts the density of states at the Fermi level at 6.57 states/eV per cell. As for the symmetry: Fm-3m, No. 225. As for the spin magnetization: 0.0 μB/cell. Its total energy is -0.1200 hartree per atom. As for the energy relative to the elements: -33.7 kJ per mole of atoms.

Lattice parameters (Å, degrees): 7.8825 7.8825 7.8825 90.00 90.00 90.00
Last column: nearest neighbours and their distance in Å.
Positions (direct):
Ba: 0.0000 0.0000 0.0000  8 Tl 3.41
Ba: 0.0000 0.5000 0.5000  8 Tl 3.41
Ba: 0.5000 0.0000 0.5000  8 Tl 3.41
Ba: 0.5000 0.5000 0.0000  8 Tl 3.41
Tl: 0.2500 0.2500 0.2500  4 Ba 3.41, 4 Sn 3.41
Tl: 0.2500 0.2500 0.7500  4 Ba 3.41, 4 Sn 3.41
Tl: 0.2500 0.7500 0.2500  4 Ba 3.41, 4 Sn 3.41
Tl: 0.2500 0.7500 0.7500  4 Ba 3.41, 4 Sn 3.41
Tl: 0.7500 0.2500 0.2500  4 Ba 3.41, 4 Sn 3.41
Tl: 0.7500 0.2500 0.7500  4 Ba 3.41, 4 Sn 3.41
Tl: 0.7500 0.7500 0.2500  4 Ba 3.41, 4 Sn 3.41
Tl: 0.7500 0.7500 0.7500  4 Sn 3.41, 4 Ba 3.41
Sn: 0.0000 0.0000 0.5000  8 Tl 3.41
Sn: 0.0000 0.5000 0.0000  8 Tl 3.41
Sn: 0.5000 0.0000 0.0000  8 Tl 3.41
Sn: 0.5000 0.5000 0.5000  8 Tl 3.41

=====

Material: BaZn2Sn2
Method: DFT, PBEsol
State: optimized geometry

The calculation puts the density of states at the Fermi level at 2.67 states/eV per cell. As for the symmetry: P4/nmm, No. 129. As for the spin magnetization: 0.0 μB/cell. Its total energy is -0.1175 hartree per atom. As for the energy relative to the elements: -41.7 kJ per mole of atoms.

Lattice parameters (Å, degrees): 4.7257 4.7257 11.0768 90.00 90.00 90.00
Last column: nearest neighbours and their distance in Å.
Positions (direct):
Ba: 0.2500 0.2500 0.2401  8 Zn 3.56-3.62, 8 Sn 3.57-3.72
Ba: 0.7500 0.7500 0.7599  8 Zn 3.56-3.62, 8 Sn 3.57-3.72
Zn: 0.2500 0.2500 0.6347  5 Sn 2.64-2.79
Zn: 0.2500 0.7500 0.0000  4 Sn 2.75
Zn: 0.7500 0.2500 0.0000  4 Sn 2.75
Zn: 0.7500 0.7500 0.3653  5 Sn 2.64-2.79
Sn: 0.2500 0.2500 0.8733  5 Zn 2.64-2.75
Sn: 0.2500 0.7500 0.5000  4 Zn 2.79
Sn: 0.7500 0.2500 0.5000  4 Zn 2.79
Sn: 0.7500 0.7500 0.1267  5 Zn 2.64-2.75

=====

Material: BaZnSn
Method: DFT, PBEsol
State: optimized geometry

The calculation puts the density of states at the Fermi level at 1.33 states/eV per cell. As for the symmetry: P6_3/mmc, No. 194. As for the spin magnetization: 0.0 μB/cell. Its total energy is -0.1171 hartree per atom. As for the energy relative to the elements: -50.5 kJ per mole of atoms.

Lattice parameters (Å, degrees): 4.6393 4.6393 9.8196 90.00 90.00 120.00
Last column: nearest neighbours and their distance in Å.
Positions (direct):
Ba: 0.0000 0.0000 0.0000  6 Sn 3.63, 6 Zn 3.63
Ba: 0.0000 0.0000 0.5000  6 Sn 3.63, 6 Zn 3.63
Zn: 0.3333 0.6667 0.2500  3 Sn 2.68
Zn: 0.6667 0.3333 0.7500  3 Sn 2.68
Sn: 0.3333 0.6667 0.7500  3 Zn 2.68
Sn: 0.6667 0.3333 0.2500  3 Zn 2.68

=====

Material: Ba5Sr3
Method: DFT, PBEsol
State: optimized geometry

The calculation puts the density of states at the Fermi level at 23.79 states/eV per cell. As for the relative energy among the computed polymorphs: 0.60 eV/f.u. As for the symmetry: I4/mcm, No. 140. As for the spin magnetization: 0.0 μB/cell. Its total energy is -0.0719 hartree per atom. As for the energy relative to the elements: 7.3 kJ per mole of atoms.

Lattice parameters (Å, degrees): 11.5897 11.5897 11.5897 96.19 96.19 141.65
Last column: nearest neighbours and their distance in Å.
Positions (direct):
Ba: 0.0726 0.7706 0.8431  6 Sr 3.96-4.38, 3 Ba 4.33-4.42
Ba: 0.2294 0.0726 0.3020  6 Sr 3.96-4.38, 3 Ba 4.33-4.42
Ba: 0.2500 0.7500 0.5000  2 Ba 3.81
Ba: 0.2706 0.5726 0.8431  6 Sr 3.96-4.38, 3 Ba 4.33-4.42
Ba: 0.4274 0.2706 0.6980  6 Sr 3.96-4.38, 3 Ba 4.33-4.42
Ba: 0.5726 0.7294 0.3020  6 Sr 3.96-4.38, 3 Ba 4.33-4.42
Ba: 0.7294 0.4274 0.1569  6 Sr 3.96-4.38, 3 Ba 4.33-4.42
Ba: 0.7500 0.2500 0.5000  2 Ba 3.81
Ba: 0.7706 0.9274 0.6980  6 Sr 3.96-4.38, 3 Ba 4.33-4.42
Ba: 0.9274 0.2294 0.1569  6 Sr 3.96-4.38, 3 Ba 4.33-4.42
Sr: 0.1772 0.3228 0.5000  10 Ba 3.96-4.38
Sr: 0.2500 0.2500 0.0000  2 Sr 3.81, 8 Ba 4.18
Sr: 0.3228 0.8228 0.1457  10 Ba 3.96-4.38
Sr: 0.6772 0.1772 0.8543  10 Ba 3.96-4.38
Sr: 0.7500 0.7500 0.0000  2 Sr 3.81, 8 Ba 4.18
Sr: 0.8228 0.6772 0.5000  10 Ba 3.96-4.38

=====

Material: BaSr3
Method: DFT, PBEsol
State: optimized geometry

The calculation puts the density of states at the Fermi level at 13.11 states/eV per cell. As for the relative energy among the computed polymorphs: 0.00 eV/f.u. As for the symmetry: R-3m, No. 166. As for the spin magnetization: 0.0 μB/cell. Its total energy is -0.0705 hartree per atom. As for the energy relative to the elements: -0.1 kJ per mole of atoms.

Lattice parameters (Å, degrees): 13.3303 13.3303 4.0880 90.00 90.00 120.00
Last column: nearest neighbours and their distance in Å.
Positions (direct):
Ba: 0.0000 0.0000 0.0000  6 Sr 4.08, 2 Ba 4.09
Ba: 0.3333 0.6667 0.6667  6 Sr 4.08, 2 Ba 4.09
Ba: 0.6667 0.3333 0.3333  6 Sr 4.08, 2 Ba 4.09
Sr: 0.0000 0.5000 0.0000  2 Ba 4.08, 6 Sr 4.08-4.09
Sr: 0.1667 0.3333 0.3333  6 Sr 4.08-4.09, 2 Ba 4.08
Sr: 0.1667 0.8333 0.3333  2 Ba 4.08, 6 Sr 4.08-4.09
Sr: 0.3333 0.1667 0.6667  6 Sr 4.08-4.09, 2 Ba 4.08
Sr: 0.5000 0.0000 0.0000  2 Ba 4.08, 6 Sr 4.08-4.09
Sr: 0.5000 0.5000 0.0000  6 Sr 4.08-4.09, 2 Ba 4.08
Sr: 0.6667 0.8333 0.3333  6 Sr 4.08-4.09, 2 Ba 4.08
Sr: 0.8333 0.1667 0.6667  2 Ba 4.08, 6 Sr 4.08-4.09
Sr: 0.8333 0.6667 0.6667  6 Sr 4.08-4.09, 2 Ba 4.08